#w
First-principles (GGA-PBE) data for DyTmZn2Sn2 after structural relaxation, as listed in OQMD.

Calculated values
* density: 8.5 g/cm³

Structure (POSCAR):
```
DyTmZn2Sn2
1.0
-1.716 1.081 4.008
-2.615 0.059 -3.652
-3.743 -14.980 2.438
Tm Sn Dy Zn
2 4 2 4
direct
0.000 0.000 0.500 Tm
0.000 0.000 0.000 Tm
0.333 0.667 0.888 Sn
0.667 0.333 0.112 Sn
0.333 0.667 0.612 Sn
0.667 0.333 0.388 Sn
0.000 0.000 0.750 Dy
0.000 0.000 0.250 Dy
0.667 0.333 0.840 Zn
0.333 0.667 0.160 Zn
0.333 0.667 0.340 Zn
0.667 0.333 0.660 Zn
```



#x
First-principles (GGA-PBE) data for DyTmZn2Sn2 after structural relaxation, as listed in OQMD.

Calculated values
* density: 8.5 g/cm³

Structure (POSCAR):
```
DyTmZn2Sn2
1.0
-0.314 -4.427 0.673
2.997 1.619 -2.925
10.650 0.985 11.458
Zn Dy Sn Tm
4 2 4 2
direct
0.667 0.333 0.838 Zn
0.333 0.667 0.162 Zn
0.333 0.667 0.338 Zn
0.667 0.333 0.662 Zn
0.000 0.000 0.500 Dy
0.000 0.000 0.000 Dy
0.333 0.667 0.886 Sn
0.667 0.333 0.386 Sn
0.667 0.333 0.114 Sn
0.333 0.667 0.614 Sn
0.000 0.000 0.750 Tm
0.000 0.000 0.250 Tm
```



The relative energies come out as #w 0.007; #x 0.000, with values in eV/atom.